DFT (GGA-PBE) results for ThTeO after structural relaxation.

Values from the calculation:
Formation energy from raw total energies in meV/atom: -2187
Total moment in μB/f.u.: 0.0
Energy above the most stable polymorph in this dataset in eV per formula unit: 1.30
Calculated density in g/cm3: 8.5

Unit cell a=3.905 b=3.905 c=19.242 alpha=90.00 beta=90.00 gamma=90.00
Space group I4/mmm (No. 139)
Unique sites:
Th: 0.000 0.000 0.081
Te: 0.000 0.000 0.332
O: 0.000 0.500 0.000


DFT (GGA-PBE) results for Pr4GaPt after structural relaxation.

Values from the calculation:
Total moment in μB/f.u.: 0.0
Energy above the most stable polymorph in this dataset in eV per formula unit: 0.78
Formation energy in eV/atom: -0.426
Calculated density in g/cm3: 7.2

Unit cell a=5.452 b=21.664 c=6.434 alpha=90.00 beta=90.00 gamma=90.00
Space group Cmc2_1 (No. 36)
Unique sites:
Pr: 0.000 0.055 0.000
Pr: 0.000 0.192 0.274
Pr: 0.000 0.213 0.791
Pr: 0.000 0.390 0.049
Ga: 0.000 0.341 0.526
Pt: 0.000 0.076 0.507


DFT (GGA-PBE) results for Ti2AlAsCl after structural relaxation.

Values from the calculation:
Formation energy from raw total energies in meV/atom: 395
Total moment in μB/f.u.: 0.0
Calculated density in g/cm3: 3.9

Unit cell a=4.438 b=4.438 c=5.025 alpha=90.00 beta=90.00 gamma=90.00
Space group P4/mmm (No. 123)
Unique sites:
Ti: 0.000 0.500 0.000
Al: 0.000 0.000 0.500
As: 0.500 0.500 0.500
Cl: 0.500 0.500 0.000


DFT (GGA-PBE) results for MgCuPd2Se after structural relaxation.

Values from the calculation:
Formation energy from raw total energies in meV/atom: 27
Total moment in μB/f.u.: 0.0
Energy above the most stable polymorph in this dataset in eV per formula unit: 0.00
Calculated density in g/cm3: 6.2

Unit cell a=4.773 b=4.773 c=4.432 alpha=90.00 beta=90.00 gamma=90.00
Space group P4/mmm (No. 123)
Unique sites:
Mg: 0.000 0.000 0.000
Cu: 0.500 0.500 0.000
Pd: 0.000 0.500 0.500
Se: 0.500 0.500 0.500


DFT (GGA-PBE) results for Pm8Sm2Er3 after structural relaxation.

Values from the calculation:
Total moment in μB/f.u.: 0.0
Energy above the most stable polymorph in this dataset in eV per formula unit: 2.46
Formation energy in eV/atom: 0.207
Calculated density in g/cm3: 7.3

Unit cell a=20.533 b=7.707 c=5.675 alpha=90.00 beta=90.03 gamma=90.00
Space group C2/m (No. 12)
Unique sites:
Pm: 0.105 0.205 0.000
Pm: 0.130 0.500 0.500
Pm: 0.171 0.000 0.501
Sm: 0.240 0.500 0.999
Er: 0.000 0.214 0.500
Er: 0.000 0.500 0.000


DFT (GGA-PBE) results for CdIn2HgPt after structural relaxation.

Values from the calculation:
Total moment in μB/f.u.: 0.0
Energy above the most stable polymorph in this dataset in eV per formula unit: 0.00
Formation energy in eV/atom: -0.193
Calculated density in g/cm3: 8.2

Unit cell a=5.254 b=5.254 c=5.418 alpha=90.00 beta=90.00 gamma=90.00
Space group P4/mmm (No. 123)
Unique sites:
Cd: 0.000 0.000 0.000
In: 0.000 0.500 0.500
Hg: 0.500 0.500 0.000
Pt: 0.000 0.000 0.500


DFT (GGA-PBE) results for Sr2ZrTiO6 after structural relaxation.

Values from the calculation:
Formation energy from raw total energies in meV/atom: -3160
Total moment in μB/f.u.: 0.0
Calculated density in g/cm3: 5.1

Unit cell a=8.136 b=8.136 c=8.136 alpha=90.00 beta=90.00 gamma=90.00
Space group Fm-3m (No. 225)
Unique sites:
Sr: 0.250 0.250 0.250
Zr: 0.000 0.000 0.000
Ti: 0.000 0.000 0.500
O: 0.000 0.000 0.258


DFT (GGA-PBE) results for LiSbMo2 after structural relaxation.

Values from the calculation:
Formation energy from raw total energies in meV/atom: 398
Total moment in μB/f.u.: 0.0
Calculated density in g/cm3: 8.1

Unit cell a=3.429 b=3.429 c=5.560 alpha=90.00 beta=90.00 gamma=90.00
Space group P4/mmm (No. 123)
Unique sites:
Li: 0.000 0.000 0.000
Sb: 0.000 0.000 0.500
Mo: 0.500 0.500 0.218


Question: Among the records above, which one has the highest calculated density?
Answer: ThTeO


Question: Which of these has the highest calculated density?
Answer: ThTeO


Question: Among the records above, which one has the highest calculated density?
Answer: ThTeO